In12Ge3As5 | GGA-PBE | optimized geometry

Cell lengths 16.648, 16.648, 16.648 Å; angles 90.00, 90.00, 90.00 degrees
Space group Ia-3d (No. 230)
Asymmetric unit:
In 0.017 0.075 0.654
Ge 0.000 0.250 0.125
As 0.000 0.000 0.000
As 0.000 0.250 0.375

Summary:
Volume = 4613.9 Å³/cell
ΔH_f (0 K) = 0.07 eV/atom